No. 1
The following is a GGA-PBE calculation of a relaxed BaTaP2C crystal, from Alexandria.

## Properties
Electronic total energy   -6.040 eV per atom
ΔE_f   0.7238 eV per atom
D(E_F)   5.28 states/eV/f.u.
Crystal system   tetragonal

a = 4.858 Å, b = 4.181 Å, c = 4.858 Å
α = 90.00°, β = 90.00°, γ = 90.00°
Atoms (fractional coordinates):
P: 0.000 0.000 0.500
P: 0.500 0.000 0.000
C: 0.000 0.000 0.000
Ba: 0.500 0.500 0.500
Ta: 0.000 0.500 0.000

=====

No. 2
The following is a GGA-PBE calculation of a relaxed KMg2Se crystal, from Alexandria.

## Properties
Electronic total energy   -2.420 eV per atom
E_form (uncorrected)   -477 meV/atom
D(E_F)   1.11 states/eV/f.u.
Crystal system   tetragonal

a = 3.734 Å, b = 3.734 Å, c = 7.926 Å
α = 90.00°, β = 90.00°, γ = 90.00°
Atoms (fractional coordinates):
K: 0.500 0.500 0.722
Mg: 0.000 0.000 0.064
Mg: 0.500 0.500 0.288
Se: 0.000 0.000 0.426

=====

No. 3
The following is a GGA-PBE calculation of a relaxed CaCr3As crystal, from Alexandria.

## Properties
Electronic total energy   -4.539 eV per atom
ΔE_f   2.5650 eV per atom
D(E_F)   13.36 states/eV/f.u.
Excess energy over the best structure of this formula in the dataset   1930 meV per atom
Crystal system   cubic

a = 4.391 Å, b = 4.391 Å, c = 4.391 Å
α = 90.00°, β = 90.00°, γ = 90.00°
Atoms (fractional coordinates):
Cr: 0.000 0.500 0.000
Cr: 0.000 0.000 0.500
Cr: 0.500 0.000 0.000
As: 0.500 0.500 0.500
Ca: 0.000 0.000 0.000

=====

No. 4
The following is a GGA-PBE calculation of a relaxed Pa3Sn crystal, from Alexandria.

## Properties
Electronic total energy   -7.473 eV per atom
ΔE_f   0.6498 eV per atom
D(E_F)   9.06 states/eV/f.u.
Excess energy over the best structure of this formula in the dataset   844 meV per atom
Crystal system   tetragonal

a = 4.324 Å, b = 4.324 Å, c = 6.645 Å
α = 108.99°, β = 108.99°, γ = 90.00°
Each line ends with the local moment (μB).
Atoms (fractional coordinates):
Pa: 0.500 0.500 0.000  1.10
Pa: 0.254 0.254 0.508  0.58
Pa: 0.746 0.746 0.492  0.58
Sn: 0.000 0.000 0.000  0.01

=====

No. 5
The following is a GGA-PBE calculation of a relaxed PuInPd4 crystal, from Alexandria.

## Properties
Electronic total energy   -6.788 eV per atom
ΔE_f   -0.4811 eV per atom
D(E_F)   18.01 states/eV/f.u.
Excess energy over the best structure of this formula in the dataset   10 meV per atom
Crystal system   cubic

a = 5.404 Å, b = 5.404 Å, c = 5.404 Å
α = 60.00°, β = 60.00°, γ = 60.00°
Each line ends with the local moment (μB).
Atoms (fractional coordinates):
In: 0.000 0.000 0.000  0.03
Pd: 0.625 0.625 0.124  -0.05
Pd: 0.625 0.124 0.625  -0.05
Pd: 0.625 0.625 0.625  -0.05
Pd: 0.124 0.625 0.625  -0.05
Pu: 0.250 0.250 0.250  5.15

=====

No. 6
The following is a GGA-PBE calculation of a relaxed Fe2NiAgH crystal, from Alexandria.

## Properties
Electronic total energy   -5.599 eV per atom
D(E_F)   3.94 states/eV/f.u.
Crystal system   tetragonal

a = 3.767 Å, b = 3.767 Å, c = 3.832 Å
α = 90.00°, β = 90.00°, γ = 90.00°
Each line ends with the local moment (μB).
Atoms (fractional coordinates):
Ni: 0.000 0.000 0.500  0.47
Fe: 0.000 0.500 0.000  2.67
Fe: 0.500 0.000 0.000  2.67
Ag: 0.500 0.500 0.500  0.06
H: 0.000 0.000 0.000  -0.02

=====

No. 7
The following is a GGA-PBE calculation of a relaxed Cs2AsBr5 crystal, from Alexandria.

## Properties
Electronic total energy   -2.999 eV per atom
E_form (uncorrected)   -1158 meV/atom
D(E_F)   0.00 states/eV/f.u.
Crystal system   tetragonal

a = 7.692 Å, b = 7.692 Å, c = 7.692 Å
α = 98.45°, β = 115.25°, γ = 115.25°
Atoms (fractional coordinates):
Cs: 0.500 0.243 0.743
Cs: 0.500 0.743 0.243
As: 0.000 0.014 0.014
Br: 0.541 0.763 0.763
Br: 0.000 0.763 0.222
Br: 0.000 0.222 0.763
Br: 0.459 0.222 0.222
Br: 0.000 0.253 0.253

=====

No. 8
The following is a GGA-PBE calculation of a relaxed SiSO crystal, from Alexandria.

## Properties
Electronic total energy   -5.971 eV per atom
E_form (uncorrected)   -1135 meV/atom
Excess energy over the best structure of this formula in the dataset   281 meV per atom
Crystal system   trigonal

a = 3.013 Å, b = 3.013 Å, c = 5.952 Å
α = 90.00°, β = 90.00°, γ = 120.00°
Atoms (fractional coordinates):
S: 0.000 0.000 0.131
Si: 0.667 0.333 0.361
O: 0.333 0.667 0.508

=====

No. 9
The following is a GGA-PBE calculation of a relaxed ZrMn2Tl2S4 crystal, from Alexandria.

## Properties
Electronic total energy   -6.090 eV per atom
E_form (uncorrected)   -743 meV/atom
D(E_F)   3.26 states/eV/f.u.
Crystal system   monoclinic

a = 3.792 Å, b = 7.686 Å, c = 7.404 Å
α = 107.41°, β = 104.84°, γ = 90.00°
Each line ends with the local moment (μB).
Atoms (fractional coordinates):
Zr: 0.000 0.000 0.000  -0.22
Mn: 0.669 0.958 0.338  3.63
Mn: 0.331 0.042 0.662  3.63
Tl: 0.140 0.557 0.280  0.01
Tl: 0.860 0.443 0.720  0.01
S: 0.192 0.159 0.383  0.07
S: 0.808 0.841 0.617  0.07
S: 0.508 0.766 0.017  0.04
S: 0.492 0.234 0.983  0.04

=====

No. 10
The following is a GGA-PBE calculation of a relaxed K2In2I7 crystal, from Alexandria.

## Properties
Electronic total energy   -2.498 eV per atom
E_form (uncorrected)   -814 meV/atom
D(E_F)   4.74 states/eV/f.u.
Crystal system   monoclinic

a = 7.434 Å, b = 9.156 Å, c = 17.691 Å
α = 90.00°, β = 90.00°, γ = 99.28°
Atoms (fractional coordinates):
K: 0.639 0.917 0.148
K: 0.361 0.583 0.648
K: 0.361 0.083 0.852
K: 0.639 0.417 0.352
In: 0.827 0.659 0.884
In: 0.173 0.341 0.116
In: 0.827 0.159 0.616
In: 0.173 0.841 0.384
I: 0.000 0.000 0.500
I: 0.000 0.500 0.000
I: 0.290 0.087 0.051
I: 0.710 0.413 0.551
I: 0.710 0.913 0.949
I: 0.290 0.587 0.449
I: 0.066 0.278 0.733
I: 0.066 0.778 0.767
I: 0.934 0.222 0.233
I: 0.934 0.722 0.267
I: 0.511 0.975 0.671
I: 0.511 0.475 0.829
I: 0.489 0.525 0.171
I: 0.489 0.025 0.329

=====

No. 11
The following is a GGA-PBE calculation of a relaxed Sm3DySc6 crystal, from Alexandria.

## Properties
Electronic total energy   -5.491 eV per atom
ΔE_f   0.1834 eV per atom
D(E_F)   15.05 states/eV/f.u.
Excess energy over the best structure of this formula in the dataset   0 meV per atom
Crystal system   orthorhombic

a = 6.121 Å, b = 9.819 Å, c = 9.819 Å
α = 106.78°, β = 90.00°, γ = 90.00°
Atoms (fractional coordinates):
Sm: 0.490 0.880 0.723
Sm: 0.990 0.723 0.880
Sm: 0.008 0.409 0.591
Sm: 0.508 0.591 0.409
Sm: 0.990 0.120 0.277
Sm: 0.490 0.277 0.120
Dy: 0.201 0.210 0.790
Dy: 0.701 0.790 0.210
Sc: 0.008 0.738 0.544
Sc: 0.508 0.544 0.738
Sc: 0.374 0.543 0.024
Sc: 0.874 0.024 0.543
Sc: 0.372 0.945 0.055
Sc: 0.659 0.244 0.756
Sc: 0.159 0.756 0.244
Sc: 0.872 0.055 0.945
Sc: 0.374 0.976 0.457
Sc: 0.874 0.457 0.976
Sc: 0.008 0.456 0.262
Sc: 0.508 0.262 0.456

=====

No. 12
The following is a GGA-PBE calculation of a relaxed RuPt6Rh2 crystal, from Alexandria.

## Properties
Electronic total energy   -6.706 eV per atom
ΔE_f   -0.0150 eV per atom
D(E_F)   14.92 states/eV/f.u.
Excess energy over the best structure of this formula in the dataset   0 meV per atom
Crystal system   monoclinic

a = 3.923 Å, b = 4.814 Å, c = 8.321 Å
α = 73.12°, β = 90.00°, γ = 114.05°
Atoms (fractional coordinates):
Ru: 0.000 0.000 0.500
Pt: 0.000 0.000 0.834
Pt: 0.665 0.330 0.277
Pt: 0.335 0.670 0.723
Pt: 0.667 0.334 0.610
Pt: 0.333 0.666 0.390
Pt: 0.000 0.000 0.166
Rh: 0.667 0.333 0.947
Rh: 0.333 0.667 0.053

=====

No. 13
The following is a GGA-PBE calculation of a relaxed Be2SiPb crystal, from Alexandria.

## Properties
Electronic total energy   -3.337 eV per atom
E_form (uncorrected)   808 meV/atom
D(E_F)   1.26 states/eV/f.u.
Excess energy over the best structure of this formula in the dataset   552 meV per atom
Crystal system   orthorhombic

a = 5.624 Å, b = 5.624 Å, c = 5.624 Å
α = 151.23°, β = 126.33°, γ = 62.03°
Atoms (fractional coordinates):
Pb: 0.513 0.513 0.000
Be: 0.988 0.988 0.000
Be: 0.800 0.300 0.500
Si: 0.199 0.699 0.500